A.
This record from the Alexandria database describes a geometry-optimized LaTmCu2 structure. The functional is GGA-PBE.

Lattice parameters (Å, degrees): 3.4976 3.4976 7.1896 90.00 90.00 90.00
Closest atoms and distances in Å follow each position.
Atoms (fractional coordinates):
La: 0.0000 0.0000 0.0000  8 Cu 3.21, 4 La 3.50
Tm: 0.0000 0.0000 0.5000  8 Cu 2.92
Cu: 0.5000 0.5000 0.2843  4 Tm 2.92, 1 Cu 3.10, 4 La 3.21
Cu: 0.5000 0.5000 0.7157  4 Tm 2.92, 1 Cu 3.10, 4 La 3.21

Values from the calculation:
SG = P4/mmm, No. 123


B.
This record from the Alexandria database describes a geometry-optimized LaTmCu2 structure. The functional is GGA-PBE.

Lattice parameters (Å, degrees): 5.0172 5.0172 5.0172 60.00 60.00 60.00
Closest atoms and distances in Å follow each position.
Atoms (fractional coordinates):
La: 0.0000 0.0000 0.0000  8 Cu 3.07
Tm: 0.5000 0.5000 0.5000  8 Cu 3.07
Cu: 0.2500 0.2500 0.2500  4 Tm 3.07, 4 La 3.07
Cu: 0.7500 0.7500 0.7500  4 La 3.07, 4 Tm 3.07

Values from the calculation:
SG = Fm-3m, No. 225


Going by the computed energies, the most stable comes first: A, B.